[1]
First-principles (PBE) data for crystalline Ge3RuF at its relaxed geometry, as listed in Alexandria.

Cell and atoms, written as POSCAR:
```
Ge3RuF
1.0
4.403 0.000 0.000
0.000 4.403 0.000
0.000 0.000 4.403
Ge Ru F
3 1 1
direct
0.000 0.000 0.500
0.000 0.500 0.000
0.500 0.000 0.000
0.500 0.500 0.500
0.000 0.000 0.000
```

Properties
- Formation energy (no corrections): 0.33 eV/atom
- Theoretical density: 6573 kg/m3
- Space group: Pm-3m (221)
- DOS(E_F): 0.865 states/eV per atom
- V: 17.1 Å³ per atom

=====

[2]
First-principles (PBE) data for crystalline Ge2RuF at its relaxed geometry, as listed in Alexandria.

Cell and atoms, written as POSCAR:
```
Ge2RuF
1.0
-2.715 2.715 5.524
2.715 -2.715 5.524
2.715 2.715 -5.524
Ge Ru F
4 2 2
direct
0.116 0.625 0.991
0.375 0.366 0.491
0.634 0.125 0.009
0.875 0.884 0.509
0.000 0.000 0.000
0.750 0.250 0.500
0.250 0.750 0.500
0.500 0.500 0.000
```

Properties
- Formation energy (no corrections): -0.25 eV/atom
- Theoretical density: 5412 kg/m3
- Space group: I-42d (122)
- DOS(E_F): 0.644 states/eV per atom
- V: 20.4 Å³ per atom